DFT (GGA-PBE) results for Th4GaRhS2 after structural relaxation.

Unit cell a=7.190 b=4.126 c=7.316 alpha=90.00 beta=109.33 gamma=90.00
Space group P2/m (No. 10)
One atom of each set of equivalent atoms:
1 Th 0.242 0.000 0.239 x2
2 Th 0.256 0.500 0.759 x2
3 Ga 0.000 0.000 0.500 x1
4 Rh 0.000 0.500 0.000 x1
5 S 0.500 0.000 0.000 x1
6 S 0.500 0.500 0.500 x1

As for the density of states at the Fermi level: 6.89 states/eV/f.u. The formation energy (no corrections) is -886 kJ/mol of formula units.

***

DFT (GGA-PBE) results for LiCoMoN3 after structural relaxation.

Unit cell a=5.968 b=3.016 c=8.534 alpha=90.00 beta=109.99 gamma=90.00
Space group P2_1/m (No. 11)
One atom of each set of equivalent atoms:
1 Li 0.050 0.250 0.357 x2
2 Co 0.428 0.250 0.888 x2
3 Mo 0.443 0.750 0.637 x2
4 N 0.221 0.250 0.660 x2
5 N 0.322 0.750 0.386 x2
6 N 0.385 0.250 0.094 x2

As for the density of states at the Fermi level: 2.87 states/eV/f.u. The formation energy (no corrections) is -77 kJ/mol of formula units.

***

DFT (GGA-PBE) results for MgTl2C2O6 after structural relaxation.

Unit cell a=5.1593 b=5.1593 c=21.8788 alpha=90.00 beta=90.00 gamma=120.00
Space group R-3m (No. 166, hexagonal axes)
One atom of each set of equivalent atoms:
1 Mg 0.0000 0.0000 0.0000 x3
2 Tl 0.0000 0.0000 0.2217 x6
3 C 0.0000 0.0000 0.3892 x6
4 O 0.0428 0.5214 0.2759 x18

As for the density of states at the Fermi level: 0.00 states/eV/f.u. The formation energy (no corrections) is -1637 kJ/mol of formula units.

***

- Look up the formation energy (no corrections) of the second one.
  -77 kJ/mol of formula units